No. 1
SbTe2Se | PBE | relaxed

a b c (Å): 4.0612 8.1071 8.3526
angles (deg): 90.00 90.00 90.00
Sites, in units of the cell vectors:
Sb (0.0000, 0.0000, 0.0000)
Sb (0.5000, 0.5000, 0.0000)
Te (0.0000, 0.5000, 0.2555)
Te (0.0000, 0.5000, 0.7445)
Te (0.5000, 0.0000, 0.2555)
Te (0.5000, 0.0000, 0.7445)
Se (0.0000, 0.0000, 0.5000)
Se (0.5000, 0.5000, 0.5000)

Results
- Energy relative to the elements, uncorrected: 0.245 eV/atom
- Spin magnetization: 0.0 μB per cell
- Energy above the lowest structure with this stoichiometry: 228.1 meV per atom
- Calculated volume: 275 Å³ per cell
- Total energy: -0.1186 hartree per atom


No. 2
SbTe2Se2 | PBE | relaxed

a b c (Å): 9.0180 9.0180 3.4719
angles (deg): 90.00 90.00 90.00
Sites, in units of the cell vectors:
Sb (0.0000, 0.0000, 0.0000)
Sb (0.5000, 0.5000, 0.0000)
Te (0.2275, 0.2725, 0.0000)
Te (0.2725, 0.7725, 0.0000)
Te (0.7275, 0.2275, 0.0000)
Te (0.7725, 0.7275, 0.0000)
Se (0.1082, 0.6082, 0.5000)
Se (0.3918, 0.1082, 0.5000)
Se (0.6082, 0.8918, 0.5000)
Se (0.8918, 0.3918, 0.5000)

Results
- Energy relative to the elements, uncorrected: 0.206 eV/atom
- Spin magnetization: 0.0 μB per cell
- Energy above the lowest structure with this stoichiometry: 233.2 meV per atom
- Calculated volume: 282 Å³ per cell
- Total energy: -0.1201 hartree per atom


No. 3
SbTeSe2 | PBE | relaxed

a b c (Å): 3.8535 7.1859 8.3197
angles (deg): 90.00 90.00 90.00
Sites, in units of the cell vectors:
Sb (0.0000, 0.0000, 0.0000)
Sb (0.5000, 0.5000, 0.0000)
Te (0.0000, 0.0000, 0.5000)
Te (0.5000, 0.5000, 0.5000)
Se (0.0000, 0.5000, 0.2480)
Se (0.0000, 0.5000, 0.7520)
Se (0.5000, 0.0000, 0.2480)
Se (0.5000, 0.0000, 0.7520)

Results
- Energy relative to the elements, uncorrected: 0.189 eV/atom
- Spin magnetization: 0.0 μB per cell
- Energy above the lowest structure with this stoichiometry: 247.8 meV per atom
- Calculated volume: 230 Å³ per cell
- Total energy: -0.1238 hartree per atom


No. 4
Sb3Te2Se2 | PBE | relaxed

a b c (Å): 14.0905 4.2818 7.4625
angles (deg): 90.00 95.77 90.00
Sites, in units of the cell vectors:
Sb (0.0000, 0.0000, 0.0000)
Sb (0.2415, 0.5000, 0.2440)
Sb (0.2585, 0.0000, 0.7560)
Sb (0.5000, 0.5000, 0.0000)
Sb (0.7415, 0.0000, 0.2440)
Sb (0.7585, 0.5000, 0.7560)
Te (0.1190, 0.0000, 0.3800)
Te (0.3810, 0.5000, 0.6200)
Te (0.6190, 0.5000, 0.3800)
Te (0.8810, 0.0000, 0.6200)
Se (0.1283, 0.5000, 0.9071)
Se (0.3717, 0.0000, 0.0929)
Se (0.6283, 0.0000, 0.9071)
Se (0.8717, 0.5000, 0.0929)

Results
- Energy relative to the elements, uncorrected: -0.138 eV/atom
- Spin magnetization: 0.0 μB per cell
- Calculated volume: 448 Å³ per cell
- Total energy: -0.1396 hartree per atom


No. 5
SbTeSe2 | PBE | relaxed

a b c (Å): 14.3853 4.0538 4.1728
angles (deg): 90.00 103.61 90.00
Sites, in units of the cell vectors:
Sb (0.0000, 0.0000, 0.0000)
Sb (0.5000, 0.5000, 0.0000)
Te (0.2888, 0.5000, 0.7878)
Te (0.7888, 0.0000, 0.7878)
Se (0.0336, 0.5000, 0.6162)
Se (0.2710, 0.0000, 0.2795)
Se (0.5336, 0.0000, 0.6162)
Se (0.7710, 0.5000, 0.2795)

Results
- Energy relative to the elements, uncorrected: -0.059 eV/atom
- Spin magnetization: 0.0 μB per cell
- Energy above the lowest structure with this stoichiometry: 0.0 meV per atom
- Calculated volume: 237 Å³ per cell
- Total energy: -0.1329 hartree per atom


No. 6
SbTe2Se | PBE | relaxed

a b c (Å): 4.1595 4.1595 7.2903
angles (deg): 90.00 90.00 90.00
Sites, in units of the cell vectors:
Sb (0.0000, 0.0000, 0.0000)
Te (0.0000, 0.5000, 0.5000)
Te (0.5000, 0.0000, 0.5000)
Se (0.5000, 0.5000, 0.0000)

Results
- Energy relative to the elements, uncorrected: 0.211 eV/atom
- Spin magnetization: 0.0 μB per cell
- Energy above the lowest structure with this stoichiometry: 193.9 meV per atom
- Calculated volume: 126 Å³ per cell
- Total energy: -0.1198 hartree per atom


No. 7
Sb3Te5Se12 | PBE | relaxed

a b c (Å): 14.8156 14.8156 14.8156
angles (deg): 109.47 109.47 109.47
Sites, in units of the cell vectors:
Sb (0.1250, 0.2500, 0.3750)
Sb (0.1250, 0.3750, 0.7500)
Sb (0.2500, 0.3750, 0.1250)
Sb (0.2500, 0.8750, 0.6250)
Sb (0.3750, 0.1250, 0.2500)
Sb (0.3750, 0.7500, 0.1250)
Sb (0.6250, 0.2500, 0.8750)
Sb (0.6250, 0.8750, 0.7500)
Sb (0.7500, 0.1250, 0.3750)
Sb (0.7500, 0.6250, 0.8750)
Sb (0.8750, 0.6250, 0.2500)
Sb (0.8750, 0.7500, 0.6250)
Te (0.0000, 0.0000, 0.0000)
Te (0.0000, 0.0000, 0.5000)
Te (0.0000, 0.5000, 0.0000)
Te (0.0000, 0.5000, 0.5000)
Te (0.1250, 0.7500, 0.8750)
Te (0.1250, 0.8750, 0.2500)
Te (0.2500, 0.1250, 0.8750)
Te (0.2500, 0.6250, 0.3750)
Te (0.3750, 0.2500, 0.6250)
Te (0.3750, 0.6250, 0.7500)
Te (0.5000, 0.0000, 0.0000)
Te (0.5000, 0.0000, 0.5000)
Te (0.5000, 0.5000, 0.0000)
Te (0.5000, 0.5000, 0.5000)
Te (0.6250, 0.3750, 0.2500)
Te (0.6250, 0.7500, 0.3750)
Te (0.7500, 0.3750, 0.6250)
Te (0.7500, 0.8750, 0.1250)
Te (0.8750, 0.1250, 0.7500)
Te (0.8750, 0.2500, 0.1250)
Se (0.0577, 0.2239, 0.1449)
Se (0.0577, 0.3337, 0.9127)
Se (0.0790, 0.7239, 0.6663)
Se (0.0790, 0.8551, 0.4127)
Se (0.0873, 0.6449, 0.4210)
Se (0.0873, 0.9423, 0.6663)
Se (0.1449, 0.0577, 0.2239)
Se (0.1449, 0.5873, 0.9210)
Se (0.1663, 0.2239, 0.5790)
Se (0.1663, 0.4423, 0.5873)
Se (0.2239, 0.1449, 0.0577)
Se (0.2239, 0.5790, 0.1663)
Se (0.2761, 0.3337, 0.9210)
Se (0.2761, 0.4423, 0.3551)
Se (0.3337, 0.9127, 0.0577)
Se (0.3337, 0.9210, 0.2761)
Se (0.3551, 0.2761, 0.4423)
Se (0.3551, 0.5790, 0.9127)
Se (0.4127, 0.0790, 0.8551)
Se (0.4127, 0.8337, 0.5577)
Se (0.4210, 0.0873, 0.6449)
Se (0.4210, 0.8337, 0.7761)
Se (0.4423, 0.3551, 0.2761)
Se (0.4423, 0.5873, 0.1663)
Se (0.5577, 0.4127, 0.8337)
Se (0.5577, 0.6449, 0.7239)
Se (0.5790, 0.1663, 0.2239)
Se (0.5790, 0.9127, 0.3551)
Se (0.5873, 0.1663, 0.4423)
Se (0.5873, 0.9210, 0.1449)
Se (0.6449, 0.4210, 0.0873)
Se (0.6449, 0.7239, 0.5577)
Se (0.6663, 0.0790, 0.7239)
Se (0.6663, 0.0873, 0.9423)
Se (0.7239, 0.5577, 0.6449)
Se (0.7239, 0.6663, 0.0790)
Se (0.7761, 0.4210, 0.8337)
Se (0.7761, 0.8551, 0.9423)
Se (0.8337, 0.5577, 0.4127)
Se (0.8337, 0.7761, 0.4210)
Se (0.8551, 0.4127, 0.0790)
Se (0.8551, 0.9423, 0.7761)
Se (0.9127, 0.0577, 0.3337)
Se (0.9127, 0.3551, 0.5790)
Se (0.9210, 0.1449, 0.5873)
Se (0.9210, 0.2761, 0.3337)
Se (0.9423, 0.6663, 0.0873)
Se (0.9423, 0.7761, 0.8551)

Results
- Energy relative to the elements, uncorrected: 0.159 eV/atom
- Spin magnetization: 0.0 μB per cell
- Calculated volume: 2503 Å³ per cell
- Total energy: -0.1226 hartree per atom


No. 8
SbTe2Se | PBE | relaxed

a b c (Å): 3.5390 3.5390 31.3413
angles (deg): 90.00 90.00 120.00
Sites, in units of the cell vectors:
Sb (0.0000, 0.0000, 0.0000)
Sb (0.3333, 0.6667, 0.6667)
Sb (0.6667, 0.3333, 0.3333)
Te (0.0000, 0.0000, 0.0971)
Te (0.0000, 0.0000, 0.9029)
Te (0.3333, 0.6667, 0.5696)
Te (0.3333, 0.6667, 0.7638)
Te (0.6667, 0.3333, 0.2362)
Te (0.6667, 0.3333, 0.4304)
Se (0.0000, 0.0000, 0.5000)
Se (0.3333, 0.6667, 0.1667)
Se (0.6667, 0.3333, 0.8333)

Results
- Energy relative to the elements, uncorrected: 0.313 eV/atom
- Spin magnetization: 0.0 μB per cell
- Energy above the lowest structure with this stoichiometry: 295.3 meV per atom
- Calculated volume: 340 Å³ per cell
- Total energy: -0.1161 hartree per atom


No. 9
SbTeSe2 | PBE | relaxed

a b c (Å): 3.5754 3.5754 7.6497
angles (deg): 90.00 90.00 90.00
Sites, in units of the cell vectors:
Sb (0.0000, 0.0000, 0.0000)
Te (0.0000, 0.0000, 0.5000)
Se (0.5000, 0.5000, 0.2210)
Se (0.5000, 0.5000, 0.7790)

Results
- Energy relative to the elements, uncorrected: 0.236 eV/atom
- Spin magnetization: 0.0 μB per cell
- Energy above the lowest structure with this stoichiometry: 294.3 meV per atom
- Calculated volume: 98 Å³ per cell
- Total energy: -0.1221 hartree per atom


No. 10
SbTeSe3 | PBE | relaxed

a b c (Å): 6.0871 4.4965 14.0515
angles (deg): 90.00 99.23 90.00
Sites, in units of the cell vectors:
Sb (0.0524, 0.2500, 0.1183)
Sb (0.9476, 0.7500, 0.8817)
Te (0.0264, 0.2500, 0.6331)
Te (0.9736, 0.7500, 0.3669)
Se (0.2101, 0.2500, 0.8154)
Se (0.2154, 0.7500, 0.5935)
Se (0.2618, 0.7500, 0.0288)
Se (0.7382, 0.2500, 0.9712)
Se (0.7846, 0.2500, 0.4065)
Se (0.7899, 0.7500, 0.1846)

Results
- Energy relative to the elements, uncorrected: -0.058 eV/atom
- Spin magnetization: 0.0 μB per cell
- Energy above the lowest structure with this stoichiometry: 5.1 meV per atom
- Calculated volume: 380 Å³ per cell
- Total energy: -0.1323 hartree per atom


No. 11
SbTeSe2 | PBE | relaxed

a b c (Å): 4.8298 5.8648 10.3796
angles (deg): 90.16 93.14 90.04
Sites, in units of the cell vectors:
Sb (0.0000, 0.0000, 0.0000)
Sb (0.4933, 0.5009, 0.2027)
Te (0.6817, 0.1712, 0.7379)
Te (0.8112, 0.6727, 0.4652)
Se (0.0502, 0.4471, 0.0289)
Se (0.2174, 0.9573, 0.7617)
Se (0.2750, 0.4587, 0.4406)
Se (0.4431, 0.9478, 0.1738)

Results
- Energy relative to the elements, uncorrected: -0.014 eV/atom
- Spin magnetization: 0.0 μB per cell
- Energy above the lowest structure with this stoichiometry: 44.5 meV per atom
- Calculated volume: 294 Å³ per cell
- Total energy: -0.1313 hartree per atom


No. 12
Sb3Te3Se | PBE | relaxed

a b c (Å): 7.8580 7.8580 9.0003
angles (deg): 106.82 106.82 104.93
Sites, in units of the cell vectors:
Sb (0.0174, 0.0174, 0.2555)
Sb (0.2041, 0.5351, 0.7095)
Sb (0.4649, 0.7959, 0.2905)
Sb (0.5351, 0.2041, 0.7095)
Sb (0.7959, 0.4649, 0.2905)
Sb (0.9826, 0.9826, 0.7445)
Te (0.1681, 0.8319, 0.0000)
Te (0.1911, 0.8089, 0.5000)
Te (0.4216, 0.4216, 0.3182)
Te (0.5784, 0.5784, 0.6818)
Te (0.8089, 0.1911, 0.5000)
Te (0.8319, 0.1681, 0.0000)
Se (0.2976, 0.2976, 0.8837)
Se (0.7024, 0.7024, 0.1163)

Results
- Energy relative to the elements, uncorrected: 0.028 eV/atom
- Spin magnetization: 0.0 μB per cell
- Calculated volume: 473 Å³ per cell
- Total energy: -0.1317 hartree per atom


> Number 4 is which compound?

Sb3Te2Se2